1.
A plane-wave DFT calculation with PBE-GGA was carried out for crystalline LiYMn at its relaxed geometry.

Computed properties:
Excess energy over the best structure of this formula in the dataset = 0 meV per atom

```
data_LiYMn
_chemical_formula_sum 'Li2 Y2 Mn2'
_cell_length_a 3.458
_cell_length_b 3.458
_cell_length_c 10.498
_cell_angle_alpha 90.00
_cell_angle_beta 90.00
_cell_angle_gamma 90.00
_space_group_name_H-M_alt 'I 4 m m'
_space_group_IT_number 107
_space_group_name_Hall 'I 4 -2'
loop_
_atom_site_label
_atom_site_type_symbol
_atom_site_fract_x
_atom_site_fract_y
_atom_site_fract_z
_atom_site_occupancy
Li1 Li 0.000 0.000 0.000 1
Y1 Y 0.000 0.000 0.704 1
Mn1 Mn 0.000 0.000 0.378 1
```

***

2.
A plane-wave DFT calculation with PBE-GGA was carried out for crystalline Li2YMn2 at its relaxed geometry.

Computed properties:
Excess energy over the best structure of this formula in the dataset = 5 meV per atom

```
data_Li2YMn2
_chemical_formula_sum 'Li4 Y2 Mn4'
_cell_length_a 3.395
_cell_length_b 3.395
_cell_length_c 13.259
_cell_angle_alpha 90.00
_cell_angle_beta 90.00
_cell_angle_gamma 90.00
_space_group_name_H-M_alt 'I 4/m m m'
_space_group_IT_number 139
_space_group_name_Hall '-I 4 2'
loop_
_atom_site_label
_atom_site_type_symbol
_atom_site_fract_x
_atom_site_fract_y
_atom_site_fract_z
_atom_site_occupancy
Li1 Li 0.000 0.000 0.114 1
Y1 Y 0.000 0.000 0.500 1
Mn1 Mn 0.000 0.500 0.250 1
```

***

3.
A plane-wave DFT calculation with PBE-GGA was carried out for crystalline Li2MnZn at its relaxed geometry.

```
data_Li2MnZn
_chemical_formula_sum 'Li2 Mn1 Zn1'
_cell_length_a 2.723
_cell_length_b 4.456
_cell_length_c 4.923
_cell_angle_alpha 90.00
_cell_angle_beta 90.14
_cell_angle_gamma 90.00
_space_group_name_H-M_alt 'P 1 m 1'
_space_group_IT_number 6
loop_
_space_group_symop_operation_xyz
'x,y,z'
'x,-y,z'
loop_
_atom_site_label
_atom_site_type_symbol
_atom_site_fract_x
_atom_site_fract_y
_atom_site_fract_z
_atom_site_occupancy
Li1 Li 0.000 0.000 0.000 1
Li2 Li 0.498 0.500 0.830 1
Mn1 Mn 0.498 0.000 0.477 1
Zn1 Zn 0.998 0.500 0.345 1
```

***

4.
A plane-wave DFT calculation with PBE-GGA was carried out for crystalline Li2MnZn at its relaxed geometry.

```
data_Li2MnZn
_chemical_formula_sum 'Li4 Mn2 Zn2'
_cell_length_a 3.830
_cell_length_b 3.830
_cell_length_c 8.209
_cell_angle_alpha 90.00
_cell_angle_beta 90.00
_cell_angle_gamma 90.00
_space_group_name_H-M_alt 'I 4/m m m'
_space_group_IT_number 139
_space_group_name_Hall '-I 4 2'
loop_
_atom_site_label
_atom_site_type_symbol
_atom_site_fract_x
_atom_site_fract_y
_atom_site_fract_z
_atom_site_occupancy
Li1 Li 0.000 0.500 0.250 1
Mn1 Mn 0.000 0.000 0.000 1
Zn1 Zn 0.000 0.000 0.500 1
```

***

5.
A plane-wave DFT calculation with PBE-GGA was carried out for crystalline Li2MnZn at its relaxed geometry.

```
data_Li2MnZn
_chemical_formula_sum 'Li4 Mn2 Zn2'
_cell_length_a 9.139
_cell_length_b 2.732
_cell_length_c 4.930
_cell_angle_alpha 90.00
_cell_angle_beta 99.06
_cell_angle_gamma 90.00
_space_group_name_H-M_alt 'C 1 m 1'
_space_group_IT_number 8
loop_
_space_group_symop_operation_xyz
'x,y,z'
'x,-y,z'
'x+1/2,y+1/2,z'
'x+1/2,-y+1/2,z'
loop_
_atom_site_label
_atom_site_type_symbol
_atom_site_fract_x
_atom_site_fract_y
_atom_site_fract_z
_atom_site_occupancy
Li1 Li 0.000 0.000 0.000 1
Li2 Li 0.242 0.000 0.769 1
Mn1 Mn 0.487 0.000 0.482 1
Zn1 Zn 0.246 0.500 0.276 1
```

***

6.
A plane-wave DFT calculation with PBE-GGA was carried out for crystalline LiMnZn2 at its relaxed geometry.

```
data_LiMnZn2
_chemical_formula_sum 'Li2 Mn2 Zn4'
_cell_length_a 8.747
_cell_length_b 2.672
_cell_length_c 5.041
_cell_angle_alpha 90.00
_cell_angle_beta 97.13
_cell_angle_gamma 90.00
_space_group_name_H-M_alt 'C 1 2/m 1'
_space_group_IT_number 12
loop_
_space_group_symop_operation_xyz
'x,y,z'
'-x,-y,-z'
'-x,y,-z'
'x,-y,z'
'x+1/2,y+1/2,z'
'-x+1/2,-y+1/2,-z'
'-x+1/2,y+1/2,-z'
'x+1/2,-y+1/2,z'
loop_
_atom_site_label
_atom_site_type_symbol
_atom_site_fract_x
_atom_site_fract_y
_atom_site_fract_z
_atom_site_occupancy
Li1 Li 0.000 0.000 0.000 1
Mn1 Mn 0.000 0.500 0.500 1
Zn1 Zn 0.245 0.000 0.748 1
```

***

7.
A plane-wave DFT calculation with PBE-GGA was carried out for crystalline LiMnZn2 at its relaxed geometry.

```
data_LiMnZn2
_chemical_formula_sum 'Li2 Mn2 Zn4'
_cell_length_a 9.622
_cell_length_b 2.711
_cell_length_c 4.621
_cell_angle_alpha 90.00
_cell_angle_beta 106.51
_cell_angle_gamma 90.00
_space_group_name_H-M_alt 'C 1 m 1'
_space_group_IT_number 8
loop_
_space_group_symop_operation_xyz
'x,y,z'
'x,-y,z'
'x+1/2,y+1/2,z'
'x+1/2,-y+1/2,z'
loop_
_atom_site_label
_atom_site_type_symbol
_atom_site_fract_x
_atom_site_fract_y
_atom_site_fract_z
_atom_site_occupancy
Li1 Li 0.000 0.000 0.000 1
Mn1 Mn 0.281 0.500 0.360 1
Zn1 Zn 0.025 0.500 0.506 1
Zn2 Zn 0.249 0.000 0.850 1
```

***

8.
A plane-wave DFT calculation with PBE-GGA was carried out for crystalline Li2MnZn at its relaxed geometry.

```
data_Li2MnZn
_chemical_formula_sum 'Li4 Mn2 Zn2'
_cell_length_a 5.461
_cell_length_b 8.204
_cell_length_c 2.686
_cell_angle_alpha 90.00
_cell_angle_beta 90.00
_cell_angle_gamma 90.00
_space_group_name_H-M_alt 'C m m m'
_space_group_IT_number 65
_space_group_name_Hall '-C 2 2'
loop_
_atom_site_label
_atom_site_type_symbol
_atom_site_fract_x
_atom_site_fract_y
_atom_site_fract_z
_atom_site_occupancy
Li1 Li 0.250 0.250 0.000 1
Mn1 Mn 0.000 0.000 0.500 1
Zn1 Zn 0.000 0.500 0.500 1
```

***

9.
A plane-wave DFT calculation with PBE-GGA was carried out for crystalline Li2MnZn at its relaxed geometry.

```
data_Li2MnZn
_chemical_formula_sum 'Li2 Mn1 Zn1'
_cell_length_a 3.712
_cell_length_b 3.712
_cell_length_c 4.352
_cell_angle_alpha 90.00
_cell_angle_beta 90.00
_cell_angle_gamma 90.00
_space_group_name_H-M_alt 'P 4/m m m'
_space_group_IT_number 123
_space_group_name_Hall '-P 4 2'
loop_
_atom_site_label
_atom_site_type_symbol
_atom_site_fract_x
_atom_site_fract_y
_atom_site_fract_z
_atom_site_occupancy
Li1 Li 0.000 0.500 0.000 1
Mn1 Mn 0.000 0.000 0.500 1
Zn1 Zn 0.500 0.500 0.500 1
```

***

10.
A plane-wave DFT calculation with PBE-GGA was carried out for crystalline Li2MnZn at its relaxed geometry.

```
data_Li2MnZn
_chemical_formula_sum 'Li6 Mn3 Zn3'
_cell_length_a 2.6924
_cell_length_b 2.6924
_cell_length_c 28.0850
_cell_angle_alpha 90.00
_cell_angle_beta 90.00
_cell_angle_gamma 120.00
_space_group_name_H-M_alt 'R -3 m'
_space_group_IT_number 166
_space_group_name_Hall '-R 3 2"'
loop_
_atom_site_label
_atom_site_type_symbol
_atom_site_fract_x
_atom_site_fract_y
_atom_site_fract_z
_atom_site_occupancy
Li1 Li 0.0000 0.0000 0.2491 1
Mn1 Mn 0.0000 0.0000 0.5000 1
Zn1 Zn 0.0000 0.0000 0.0000 1
```

***

11.
A plane-wave DFT calculation with PBE-GGA was carried out for crystalline LiMnZn2 at its relaxed geometry.

```
data_LiMnZn2
_chemical_formula_sum 'Li3 Mn3 Zn6'
_cell_length_a 2.6982
_cell_length_b 2.6982
_cell_length_c 28.1051
_cell_angle_alpha 90.00
_cell_angle_beta 90.00
_cell_angle_gamma 120.00
_space_group_name_H-M_alt 'R 3 m'
_space_group_IT_number 160
_space_group_name_Hall 'R 3 -2"'
loop_
_atom_site_label
_atom_site_type_symbol
_atom_site_fract_x
_atom_site_fract_y
_atom_site_fract_z
_atom_site_occupancy
Li1 Li 0.0000 0.0000 0.0000 1
Mn1 Mn 0.0000 0.0000 0.2510 1
Zn1 Zn 0.0000 0.0000 0.5050 1
Zn2 Zn 0.0000 0.0000 0.7488 1
```

***

12.
A plane-wave DFT calculation with PBE-GGA was carried out for crystalline Li3MnZn at its relaxed geometry.

Computed properties:
Excess energy over the best structure of this formula in the dataset = 220 meV per atom

```
data_Li3MnZn
_chemical_formula_sum 'Li3 Mn1 Zn1'
_cell_length_a 4.509
_cell_length_b 4.509
_cell_length_c 4.509
_cell_angle_alpha 90.00
_cell_angle_beta 90.00
_cell_angle_gamma 90.00
_space_group_name_H-M_alt 'P m -3 m'
_space_group_IT_number 221
_space_group_name_Hall '-P 4 2 3'
loop_
_atom_site_label
_atom_site_type_symbol
_atom_site_fract_x
_atom_site_fract_y
_atom_site_fract_z
_atom_site_occupancy
Li1 Li 0.000 0.000 0.500 1
Mn1 Mn 0.500 0.500 0.500 1
Zn1 Zn 0.000 0.000 0.000 1
```

***

Number 1: calculated volume 126 Å³ per cell, energy relative to the elements 0.2542 eV/atom, M_tot 6.5 μB/cell. Number 2: calculated volume 153 Å³ per cell, energy relative to the elements 0.6077 eV/atom, M_tot 0.0 μB/cell. Number 3: calculated volume 60 Å³ per cell, energy relative to the elements 0.0923 eV/atom, M_tot 3.3 μB/cell. Number 4: calculated volume 120 Å³ per cell, energy relative to the elements 0.1234 eV/atom, M_tot 7.9 μB/cell. Number 5: calculated volume 122 Å³ per cell, energy relative to the elements 0.1197 eV/atom, M_tot 7.3 μB/cell. Number 6: calculated volume 117 Å³ per cell, energy relative to the elements 0.0678 eV/atom, M_tot 6.8 μB/cell. Number 7: calculated volume 116 Å³ per cell, energy relative to the elements 0.0175 eV/atom, M_tot 6.6 μB/cell. Number 8: calculated volume 120 Å³ per cell, energy relative to the elements 0.1731 eV/atom, M_tot 7.3 μB/cell. Number 9: calculated volume 60 Å³ per cell, energy relative to the elements 0.1336 eV/atom, M_tot 3.3 μB/cell. Number 10: calculated volume 176 Å³ per cell, energy relative to the elements 0.1182 eV/atom, M_tot 9.5 μB/cell. Number 11: calculated volume 177 Å³ per cell, energy relative to the elements 0.1153 eV/atom, M_tot 10.2 μB/cell. Number 12: calculated volume 92 Å³ per cell, energy relative to the elements 0.9832 eV/atom, M_tot 0.6 μB/cell.